No. 1
# TbY3Cu2 | Alexandria | PBE | relaxed
# Formation energy ... 0.0170 eV/atom
# ΔE to the lowest computed polymorph ... 0.177 eV/atom
# Final energy ... -128.5 eV/cell
# Volume ... 662 Å³ per cell
data_TbY3Cu2
_cell_length_a 6.808
_cell_length_b 13.472
_cell_length_c 7.215
_cell_angle_alpha 90.00
_cell_angle_beta 90.00
_cell_angle_gamma 90.00
_space_group_name_H-M_alt 'I b a m'
_space_group_IT_number 72
_space_group_name_Hall '-I 2 2c'
loop_
_atom_site_label
_atom_site_type_symbol
_atom_site_fract_x
_atom_site_fract_y
_atom_site_fract_z
Tb1 Tb 0.000 0.000 0.000
Y1 Y 0.000 0.235 0.250
Y2 Y 0.000 0.500 0.250
Cu1 Cu 0.210 0.359 0.000

No. 2
# Tb2YCu4 | Alexandria | PBE | relaxed
# Formation energy ... -0.0123 eV/atom
# Final energy ... -64.4 eV/cell
# Volume ... 301 Å³ per cell
data_Tb2YCu4
_cell_length_a 5.131
_cell_length_b 5.131
_cell_length_c 11.445
_cell_angle_alpha 90.00
_cell_angle_beta 90.00
_cell_angle_gamma 90.00
_space_group_name_H-M_alt 'I 4/m m m'
_space_group_IT_number 139
_space_group_name_Hall '-I 4 2'
loop_
_atom_site_label
_atom_site_type_symbol
_atom_site_fract_x
_atom_site_fract_y
_atom_site_fract_z
Tb1 Tb 0.000 0.000 0.210
Y1 Y 0.000 0.000 0.500
Cu1 Cu 0.000 0.500 0.118

No. 3
# TbY4Cu5 | Alexandria | PBE | relaxed
# Formation energy ... -0.2455 eV/atom
# Final energy ... -53.4 eV/cell
# Volume ... 211 Å³ per cell
data_TbY4Cu5
_cell_length_a 3.466
_cell_length_b 3.466
_cell_length_c 17.577
_cell_angle_alpha 90.00
_cell_angle_beta 90.00
_cell_angle_gamma 90.00
_space_group_name_H-M_alt 'P 4/m m m'
_space_group_IT_number 123
_space_group_name_Hall '-P 4 2'
loop_
_atom_site_label
_atom_site_type_symbol
_atom_site_fract_x
_atom_site_fract_y
_atom_site_fract_z
Tb1 Tb 0.000 0.000 0.000
Y1 Y 0.000 0.000 0.200
Y2 Y 0.000 0.000 0.400
Cu1 Cu 0.500 0.500 0.100
Cu2 Cu 0.500 0.500 0.300
Cu3 Cu 0.500 0.500 0.500

No. 4
# TbYCu2 | Alexandria | PBE | relaxed
# Formation energy ... -0.2414 eV/atom
# ΔE to the lowest computed polymorph ... 0.009 eV/atom
# Final energy ... -20.3 eV/cell
# Volume ... 84 Å³ per cell
data_TbYCu2
_cell_length_a 3.480
_cell_length_b 3.480
_cell_length_c 6.970
_cell_angle_alpha 90.00
_cell_angle_beta 90.00
_cell_angle_gamma 90.00
_space_group_name_H-M_alt 'P 4/m m m'
_space_group_IT_number 123
_space_group_name_Hall '-P 4 2'
loop_
_atom_site_label
_atom_site_type_symbol
_atom_site_fract_x
_atom_site_fract_y
_atom_site_fract_z
Tb1 Tb 0.000 0.000 0.000
Y1 Y 0.000 0.000 0.500
Cu1 Cu 0.500 0.500 0.248

No. 5
# TbYCu4 | Alexandria | PBE | relaxed
# Formation energy ... -0.2680 eV/atom
# ΔE to the lowest computed polymorph ... 0.000 eV/atom
# Final energy ... -58.2 eV/cell
# Volume ... 217 Å³ per cell
data_TbYCu4
_cell_length_a 4.298
_cell_length_b 6.874
_cell_length_c 7.342
_cell_angle_alpha 90.00
_cell_angle_beta 90.00
_cell_angle_gamma 90.00
_space_group_name_H-M_alt 'I m m 2'
_space_group_IT_number 44
loop_
_space_group_symop_operation_xyz
'x,y,z'
'-x,-y,z'
'-x,y,z'
'x,-y,z'
'x+1/2,y+1/2,z+1/2'
'-x+1/2,-y+1/2,z+1/2'
'-x+1/2,y+1/2,z+1/2'
'x+1/2,-y+1/2,z+1/2'
loop_
_atom_site_label
_atom_site_type_symbol
_atom_site_fract_x
_atom_site_fract_y
_atom_site_fract_z
Tb1 Tb 0.000 0.000 0.000
Y1 Y 0.000 0.500 0.087
Cu1 Cu 0.000 0.198 0.379
Cu2 Cu 0.000 0.302 0.708

No. 6
# Tb2YCu2 | Alexandria | PBE | relaxed
# Formation energy ... -0.0956 eV/atom
# ΔE to the lowest computed polymorph ... 0.066 eV/atom
# Final energy ... -48.8 eV/cell
# Volume ... 248 Å³ per cell
data_Tb2YCu2
_cell_length_a 5.024
_cell_length_b 4.618
_cell_length_c 10.777
_cell_angle_alpha 90.00
_cell_angle_beta 97.84
_cell_angle_gamma 90.00
_space_group_name_H-M_alt 'P 1 21/m 1'
_space_group_IT_number 11
loop_
_space_group_symop_operation_xyz
'x,y,z'
'-x,-y,-z'
'-x,y+1/2,-z'
'x,-y+1/2,z'
loop_
_atom_site_label
_atom_site_type_symbol
_atom_site_fract_x
_atom_site_fract_y
_atom_site_fract_z
Tb1 Tb 0.159 0.250 0.114
Tb2 Tb 0.253 0.750 0.506
Y1 Y 0.305 0.250 0.761
Cu1 Cu 0.205 0.250 0.364
Cu2 Cu 0.377 0.750 0.990

No. 7
# TbY5Cu6 | Alexandria | PBE | relaxed
# Formation energy ... -0.2445 eV/atom
# Final energy ... -128.9 eV/cell
# Volume ... 507 Å³ per cell
data_TbY5Cu6
_cell_length_a 4.943
_cell_length_b 14.838
_cell_length_c 6.917
_cell_angle_alpha 90.00
_cell_angle_beta 90.00
_cell_angle_gamma 90.00
_space_group_name_H-M_alt 'C m m m'
_space_group_IT_number 65
_space_group_name_Hall '-C 2 2'
loop_
_atom_site_label
_atom_site_type_symbol
_atom_site_fract_x
_atom_site_fract_y
_atom_site_fract_z
Tb1 Tb 0.000 0.000 0.000
Y1 Y 0.000 0.000 0.500
Y2 Y 0.000 0.333 0.000
Y3 Y 0.000 0.333 0.500
Cu1 Cu 0.000 0.166 0.250
Cu2 Cu 0.000 0.500 0.248

No. 8
# TbYCu2 | Alexandria | PBE | relaxed
# Formation energy ... -0.2382 eV/atom
# ΔE to the lowest computed polymorph ... 0.012 eV/atom
# Final energy ... -81.0 eV/cell
# Volume ... 339 Å³ per cell
data_TbYCu2
_cell_length_a 6.971
_cell_length_b 6.971
_cell_length_c 6.971
_cell_angle_alpha 90.00
_cell_angle_beta 90.00
_cell_angle_gamma 90.00
_space_group_name_H-M_alt 'F m -3 m'
_space_group_IT_number 225
_space_group_name_Hall '-F 4 2 3'
loop_
_atom_site_label
_atom_site_type_symbol
_atom_site_fract_x
_atom_site_fract_y
_atom_site_fract_z
Tb1 Tb 0.000 0.000 0.000
Y1 Y 0.000 0.000 0.500
Cu1 Cu 0.250 0.250 0.250

No. 9
# Tb2YCu6 | Alexandria | PBE | relaxed
# Formation energy ... -0.2564 eV/atom
# Final energy ... -42.6 eV/cell
# Volume ... 167 Å³ per cell
data_Tb2YCu6
_cell_length_a 7.3313
_cell_length_b 7.3313
_cell_length_c 3.5920
_cell_angle_alpha 90.00
_cell_angle_beta 90.00
_cell_angle_gamma 120.00
_space_group_name_H-M_alt 'P 6/m m m'
_space_group_IT_number 191
_space_group_name_Hall '-P 6 2'
loop_
_atom_site_label
_atom_site_type_symbol
_atom_site_fract_x
_atom_site_fract_y
_atom_site_fract_z
Tb1 Tb 0.3333 0.6667 0.0000
Y1 Y 0.0000 0.0000 0.0000
Cu1 Cu 0.0000 0.3335 0.5000

No. 10
# Tb2Y3Cu2 | Alexandria | PBE | relaxed
# Formation energy ... -0.1159 eV/atom
# Final energy ... -75.3 eV/cell
# Volume ... 369 Å³ per cell
data_Tb2Y3Cu2
_cell_length_a 12.592
_cell_length_b 3.618
_cell_length_c 9.076
_cell_angle_alpha 90.00
_cell_angle_beta 116.91
_cell_angle_gamma 90.00
_space_group_name_H-M_alt 'C 1 2/m 1'
_space_group_IT_number 12
loop_
_space_group_symop_operation_xyz
'x,y,z'
'-x,-y,-z'
'-x,y,-z'
'x,-y,z'
'x+1/2,y+1/2,z'
'-x+1/2,-y+1/2,-z'
'-x+1/2,y+1/2,-z'
'x+1/2,-y+1/2,z'
loop_
_atom_site_label
_atom_site_type_symbol
_atom_site_fract_x
_atom_site_fract_y
_atom_site_fract_z
Tb1 Tb 0.158 0.000 0.314
Y1 Y 0.000 0.500 0.500
Y2 Y 0.113 0.500 0.942
Cu1 Cu 0.171 0.000 0.730

No. 11
# TbYCu | Alexandria | PBE | relaxed
# Formation energy ... -0.0884 eV/atom
# ΔE to the lowest computed polymorph ... 0.058 eV/atom
# Final energy ... -61.8 eV/cell
# Volume ... 316 Å³ per cell
data_TbYCu
_cell_length_a 6.659
_cell_length_b 6.957
_cell_length_c 6.830
_cell_angle_alpha 90.00
_cell_angle_beta 90.05
_cell_angle_gamma 90.00
_space_group_name_H-M_alt 'P 1 21/c 1'
_space_group_IT_number 14
loop_
_space_group_symop_operation_xyz
'x,y,z'
'-x,-y,-z'
'-x,y+1/2,-z+1/2'
'x,-y+1/2,z+1/2'
loop_
_atom_site_label
_atom_site_type_symbol
_atom_site_fract_x
_atom_site_fract_y
_atom_site_fract_z
Tb1 Tb 0.104 0.093 0.250
Y1 Y 0.436 0.750 0.000
Cu1 Cu 0.290 0.039 0.750

No. 12
# TbY5Cu4 | Alexandria | PBE | relaxed
# Formation energy ... -0.1844 eV/atom
# Final energy ... -55.2 eV/cell
# Volume ... 233 Å³ per cell
data_TbY5Cu4
_cell_length_a 3.486
_cell_length_b 3.486
_cell_length_c 19.144
_cell_angle_alpha 90.00
_cell_angle_beta 90.00
_cell_angle_gamma 90.00
_space_group_name_H-M_alt 'P 4/m m m'
_space_group_IT_number 123
_space_group_name_Hall '-P 4 2'
loop_
_atom_site_label
_atom_site_type_symbol
_atom_site_fract_x
_atom_site_fract_y
_atom_site_fract_z
Tb1 Tb 0.000 0.000 0.000
Y1 Y 0.500 0.500 0.136
Y2 Y 0.500 0.500 0.317
Y3 Y 0.500 0.500 0.500
Cu1 Cu 0.000 0.000 0.226
Cu2 Cu 0.000 0.000 0.409

- formation energy of number 1 (TbY3Cu2)?
  0.0170 eV/atom

- Number 1 is which compound?
  TbY3Cu2

- The lowest formation energy belongs to which entry?
  TbYCu4